1.
! Ho6ErCd5, optimized geometry, DFT PBE-GGA; values from VASP
! - symmetry = No. 71
! - formation energy (eV per atom) = -0.213
&SYSTEM
  ibrav = 0, nat = 12, ntyp = 3
/
ATOMIC_SPECIES
Er 167.26 Er.upf
Ho 164.93 Ho.upf
Cd 112.41 Cd.upf
ATOMIC_POSITIONS crystal
Er 0.000 0.000 0.000
Ho 0.829 0.574 0.659
Ho 0.829 0.085 0.659
Ho 0.500 0.732 0.000
Ho 0.500 0.268 0.000
Ho 0.171 0.915 0.341
Ho 0.171 0.426 0.341
Cd 0.653 0.153 0.306
Cd 0.331 0.331 0.662
Cd 0.000 0.500 0.000
Cd 0.669 0.669 0.338
Cd 0.347 0.847 0.694
CELL_PARAMETERS angstrom
5.013 0.021 -1.463
-1.061 6.798 -3.541
-0.035 0.384 9.206

---

2.
! ZnFeTe2, optimized geometry, DFT PBE-GGA; values from VASP
! - symmetry = No. 12
! - formation energy (no corrections) (eV per atom) = 0.049
&SYSTEM
  ibrav = 0, nat = 4, ntyp = 3
/
ATOMIC_SPECIES
Fe 55.84 Fe.upf
Te 127.60 Te.upf
Zn 65.41 Zn.upf
ATOMIC_POSITIONS crystal
Fe 0.250 0.250 0.250
Te 0.993 0.993 0.020
Te 0.507 0.507 0.480
Zn 0.750 0.750 0.750
CELL_PARAMETERS angstrom
3.872 -0.011 -0.002
1.936 3.354 -0.002
1.939 1.116 6.846

---

3.
! RbAlAu2, optimized geometry, DFT PBE-GGA; values from VASP
! - symmetry = No. 59
! - formation energy (eV per atom) = -0.349
&SYSTEM
  ibrav = 0, nat = 8, ntyp = 3
/
ATOMIC_SPECIES
Rb 85.47 Rb.upf
Al 26.98 Al.upf
Au 196.97 Au.upf
ATOMIC_POSITIONS crystal
Rb 0.500 0.893 0.000
Rb 0.000 0.107 0.500
Al 0.500 0.577 0.500
Al 0.000 0.423 0.000
Au 0.000 0.599 0.685
Au 0.500 0.401 0.815
Au 0.000 0.599 0.315
Au 0.500 0.401 0.185
CELL_PARAMETERS angstrom
4.573 0.000 0.000
0.000 6.784 0.000
0.000 0.000 7.474

---

4.
! BeAsRhSe2, optimized geometry, DFT PBE-GGA; values from VASP
! - symmetry = No. 123
! - formation energy (no corrections) (eV per atom) = 0.780
! - polymorph energy (0 for the lowest one) (meV per atom) = 228
&SYSTEM
  ibrav = 0, nat = 5, ntyp = 4
/
ATOMIC_SPECIES
Be 9.01 Be.upf
As 74.92 As.upf
Rh 102.91 Rh.upf
Se 78.96 Se.upf
ATOMIC_POSITIONS crystal
Be 0.500 0.500 0.500
As 0.000 0.000 0.500
Rh 0.000 0.000 0.000
Se 0.000 0.500 0.000
Se 0.500 0.000 0.000
CELL_PARAMETERS angstrom
5.050 0.000 0.000
0.000 5.050 0.000
0.000 0.000 4.525